--- w ---
InPd4Pt2 | Alexandria | PBE | relaxed; space group = P2_1/m (11)
1.0
6.816 0.000 0.000
0.000 5.452 0.000
-3.301 0.000 6.282
In Pd Pt
2 8 4
direct
0.066 0.250 0.322 In
0.934 0.750 0.678 In
0.228 0.750 0.087 Pd
0.355 0.502 0.771 Pd
0.355 0.998 0.771 Pd
0.497 0.750 0.513 Pd
0.503 0.250 0.487 Pd
0.645 0.002 0.229 Pd
0.645 0.498 0.229 Pd
0.772 0.250 0.913 Pd
0.054 0.750 0.370 Pt
0.239 0.250 0.045 Pt
0.761 0.750 0.955 Pt
0.946 0.250 0.630 Pt



--- x ---
InPd4Pt2 | Alexandria | PBE | relaxed; space group = C2/m (12)
1.0
4.405 -2.003 0.000
4.405 2.003 0.000
-1.003 0.000 6.342
In Pd Pt
1 4 2
direct
0.000 0.000 0.000 In
0.287 0.287 0.855 Pd
0.428 0.428 0.290 Pd
0.572 0.572 0.710 Pd
0.713 0.713 0.145 Pd
0.143 0.143 0.432 Pt
0.857 0.857 0.568 Pt



It is w that is the least stable of them.



--- w ---
In2PdPt4 | Alexandria | PBE | relaxed; space group = I4/mmm (139)
1.0
-1.831 1.831 9.644
1.831 -1.831 9.644
1.831 1.831 -9.644
In Pd Pt
2 1 4
direct
0.086 0.086 0.000 In
0.914 0.914 0.000 In
0.500 0.500 0.000 Pd
0.250 0.750 0.500 Pt
0.358 0.358 0.000 Pt
0.642 0.642 0.000 Pt
0.750 0.250 0.500 Pt



--- x ---
In2PdPt4 | Alexandria | PBE | relaxed; space group = I4/mmm (139)
1.0
-2.522 2.522 5.376
2.522 -2.522 5.376
2.522 2.522 -5.376
In Pd Pt
2 1 4
direct
0.148 0.148 0.000 In
0.852 0.852 0.000 In
0.500 0.500 0.000 Pd
0.000 0.500 0.500 Pt
0.250 0.750 0.500 Pt
0.500 0.000 0.500 Pt
0.750 0.250 0.500 Pt



It is x that is the least stable of them.



--- w ---
InPd2Pt8 | Alexandria | PBE | relaxed; space group = C2/m (12)
1.0
7.219 -1.989 0.000
7.219 1.989 0.000
-1.661 0.000 6.102
In Pd Pt
1 2 8
direct
0.000 0.000 0.000 In
0.275 0.275 0.366 Pd
0.725 0.725 0.634 Pd
0.092 0.092 0.450 Pt
0.183 0.183 0.911 Pt
0.363 0.363 0.819 Pt
0.453 0.453 0.278 Pt
0.547 0.547 0.722 Pt
0.637 0.637 0.181 Pt
0.817 0.817 0.089 Pt
0.908 0.908 0.550 Pt



--- x ---
InPd2Pt8 | Alexandria | PBE | relaxed; space group = C2/m (12)
1.0
6.496 -2.676 0.000
6.496 2.676 0.000
-1.492 0.000 5.368
In Pd Pt
1 2 8
direct
0.000 0.000 0.000 In
0.221 0.221 0.428 Pd
0.779 0.779 0.572 Pd
0.156 0.656 0.328 Pt
0.256 0.256 0.970 Pt
0.344 0.844 0.672 Pt
0.425 0.425 0.784 Pt
0.575 0.575 0.216 Pt
0.656 0.156 0.328 Pt
0.744 0.744 0.030 Pt
0.844 0.344 0.672 Pt



It is x that is the least stable of them.



--- w ---
In4Pd5Pt2 | Alexandria | PBE | relaxed; space group = Immm (71)
1.0
-1.432 3.690 10.608
1.432 -3.690 10.608
1.432 3.690 -10.608
In Pd Pt
4 5 2
direct
0.153 0.153 0.000 In
0.189 0.500 0.689 In
0.811 0.500 0.311 In
0.847 0.847 0.000 In
0.189 0.382 0.807 Pd
0.424 0.618 0.807 Pd
0.500 0.000 0.500 Pd
0.576 0.382 0.193 Pd
0.811 0.618 0.193 Pd
0.277 0.277 0.000 Pt
0.723 0.723 0.000 Pt



--- x ---
In4Pd5Pt2 | Alexandria | PBE | relaxed; space group = P2/m (10)
1.0
7.256 0.000 0.000
0.000 3.026 0.000
-1.132 0.000 8.911
In Pd Pt
4 5 2
direct
0.196 0.000 0.392 In
0.256 0.000 0.930 In
0.744 0.000 0.070 In
0.804 0.000 0.608 In
0.169 0.500 0.645 Pd
0.472 0.500 0.178 Pd
0.500 0.500 0.500 Pd
0.528 0.500 0.822 Pd
0.831 0.500 0.355 Pd
0.083 0.500 0.145 Pt
0.917 0.500 0.855 Pt



It is w that is the least stable of them.